1.
This record from the Alexandria database describes crystalline LiMg2Cl at its relaxed geometry. The functional is PBE.

* E above lowest polymorph: 176.5 meV/atom
* density: 1.71 g cm⁻³
* total moment: 0.0 μB per cell

abc: 5.009 3.328 5.800
angles: 90.00 114.14 90.00
Space group P2/m (No. 10)
One atom of each set of equivalent atoms:
Li 0.000 0.000 0.000 [1 per cell]
Mg 0.000 0.500 0.500 [1 per cell]
Mg 0.500 0.000 0.500 [1 per cell]
Cl 0.500 0.500 0.000 [1 per cell]

***

2.
This record from the Alexandria database describes crystalline Li2MgMnCl6 at its relaxed geometry. The functional is PBE.

* E_tot: -4.15 eV/atom
* density: 2.47 g cm⁻³
* total moment: 15.0 μB per cell

abc: 6.3801 6.3801 17.4814
angles: 90.00 90.00 120.00
Space group R3 (No. 146, hexagonal axes)
One atom of each set of equivalent atoms:
Li 0.0000 0.0000 0.0000 [3 per cell]
Li 0.0000 0.0000 0.4976 [3 per cell]
Mg 0.0000 0.0000 0.6920 [3 per cell]
Mn 0.0000 0.0000 0.1933 [3 per cell]
Cl 0.0243 0.6763 0.7652 [9 per cell]
Cl 0.0251 0.3508 0.2657 [9 per cell]